## ZrRuOF2 (PBE)

Data for ZrRuOF2 after structural relaxation.

```
5
Lattice="4.273 0.000 0.000 0.000 4.273 0.000 0.000 0.000 4.133" Properties=species:S:1:pos:R:3 pbc="T T T"
Zr 0.000 0.000 0.000
Ru 2.137 2.137 2.066
O 0.000 0.000 2.066
F 0.000 2.137 0.000
F 2.137 0.000 0.000
```

Summary:
E above lowest polymorph: 0 meV/atom
space-group type: P4/mmm, No. 123


## S6OF2 (PBE)

Data for S6OF2 after structural relaxation.

```
18
Lattice="6.611 -8.794 0.000 6.611 8.794 0.000 -0.353 0.000 4.102" Properties=species:S:1:pos:R:3 pbc="T T T"
S 5.495 6.596 2.678
S 4.058 2.986 3.151
S 7.198 6.596 3.475
S 5.308 1.802 3.929
S 7.385 1.802 2.225
S 4.234 -2.986 1.100
S 8.636 2.986 3.003
S 5.485 -1.802 1.878
S 7.561 -1.802 0.174
S 5.672 -6.596 0.627
S 8.812 -2.986 0.951
S 7.374 -6.596 1.424
O 6.523 2.715 1.026
O 6.347 -2.715 3.077
F 1.763 1.080 0.667
F 1.586 -1.080 2.718
F 11.283 1.080 1.385
F 11.107 -1.080 3.436
```

Summary:
space-group type: C2/c, No. 15


## S2O5F2 (PBE)

Data for S2O5F2 after structural relaxation.

```
36
Lattice="7.831 0.000 0.000 0.000 7.831 0.000 0.000 0.000 9.813" Properties=species:S:1:pos:R:3 pbc="T T T"
S 0.606 2.598 3.584
S 1.317 3.309 8.490
S 2.598 7.224 6.229
S 3.309 6.513 1.323
S 4.522 1.317 1.323
S 5.233 0.606 6.229
S 6.513 4.522 8.490
S 7.224 5.233 3.584
O 0.000 3.915 2.802
O 0.000 3.915 7.708
O 0.143 5.498 4.759
O 0.860 1.671 2.544
O 1.582 4.059 9.665
O 1.671 6.971 7.269
O 2.245 3.056 7.451
O 2.333 0.143 5.054
O 3.056 5.586 2.362
O 3.772 1.582 0.148
O 3.915 0.000 2.105
O 3.915 0.000 7.012
O 4.059 6.249 0.148
O 4.775 2.245 2.362
O 5.498 7.687 5.054
O 5.586 4.775 7.451
O 6.160 0.860 7.269
O 6.249 3.772 9.665
O 6.971 6.160 2.544
O 7.687 2.333 4.759
F 0.699 1.932 8.934
F 1.932 7.132 0.879
F 1.983 3.216 4.028
F 3.216 5.848 5.785
F 4.615 1.983 5.785
F 5.848 4.615 4.028
F 5.898 0.699 0.879
F 7.132 5.898 8.934
```

Summary:
space-group type: P-42_1c, No. 114


## SO2F (PBE)

Data for SO2F after structural relaxation.

```
4
Lattice="0.000 2.583 2.583 2.583 0.000 2.583 2.583 2.583 0.000" Properties=species:S:1:pos:R:3 pbc="T T T"
S 0.000 0.000 0.000
O 1.292 1.292 1.292
O 3.875 3.875 3.875
F 2.583 2.583 2.583
```

Summary:
E above lowest polymorph: 1840 meV/atom
space-group type: Fm-3m, No. 225


| no. | calculated total energy (hartree per atom) | M_tot (μB per formula unit) | uncorrected formation energy (kJ per mole of atoms) |
| --- | --- | --- | --- |
| 1 | -0.250 | 2.33 | -144 |
| 2 | -0.151 | 0.00 | -37 |
| 3 | -0.199 | 0.00 | -127 |
| 4 | -0.115 | 0.00 | 81 |